Entry 1:
Crystalline VMoAs2 at its relaxed geometry. Source: Alexandria, functional PBE.

Unit cell a=5.8091 b=5.8091 c=10.9433 alpha=90.00 beta=90.00 gamma=90.00
Last column: nearest neighbours and their distance in Å.
Space group I-42d (No. 122)
One atom of each set of equivalent atoms:
V 0.0000 0.0000 0.0000  4 As 2.46
Mo 0.0000 0.0000 0.5000  4 As 2.47
As 0.2490 0.2500 0.1250  2 V 2.46, 2 Mo 2.47

Calculated values
Excess energy over the best structure of this formula in the dataset: 772 meV per atom
Crystal system: tetragonal
ΔH_f (0 K): 8.86 kcal/mol of atoms
VASP energy: -110.8 eV for the cell shown

***

Entry 2:
Crystalline ZnCd3 at its relaxed geometry. Source: Alexandria, functional PBE.

Unit cell a=5.5466 b=5.5466 c=5.5466 alpha=90.00 beta=90.00 gamma=90.00
Last column: nearest neighbours and their distance in Å.
Space group Pm-3n (No. 223)
One atom of each set of equivalent atoms:
Zn 0.0000 0.0000 0.0000  12 Cd 3.10
Cd 0.0000 0.2500 0.5000  2 Cd 2.77, 4 Zn 3.10

Calculated values
Crystal system: cubic
ΔH_f (0 K): 2.40 kcal/mol of atoms
VASP energy: -7.2 eV for the cell shown

***

Entry 3:
Crystalline CsPm3Ga4O12 at its relaxed geometry. Source: Alexandria, functional PBE.

Unit cell a=11.9320 b=11.9320 c=8.7490 alpha=90.00 beta=90.00 gamma=120.00
Last column: nearest neighbours and their distance in Å.
Space group R32 (No. 155, hexagonal axes)
One atom of each set of equivalent atoms:
Cs 0.0000 0.0000 0.0000  6 O 2.99
Pm 0.0000 0.5546 0.0000  6 O 2.31-2.39
Ga 0.0000 0.0000 0.5000  3 O 1.80
Ga 0.0000 0.4488 0.5000  3 O 1.79
O 0.0000 0.5986 0.5000  1 Ga 1.79
O 0.0000 0.8488 0.5000  1 Ga 1.80
O 0.0393 0.2289 0.1814  1 Ga 1.79

Calculated values
Crystal system: trigonal
ΔE_f (raw): -2.08 eV per atom
VASP energy: -385.2 eV for the cell shown

***

Entry 4:
Crystalline MgAg2Au at its relaxed geometry. Source: Alexandria, functional PBE.

Unit cell a=5.6413 b=9.8372 c=3.0588 alpha=90.00 beta=120.25 gamma=90.00
Last column: nearest neighbours and their distance in Å.
Space group C2/m (No. 12)
One atom of each set of equivalent atoms:
Mg 0.0000 0.0000 0.0000  4 Au 2.82-2.94, 4 Ag 2.86, 2 Mg 3.06
Ag 0.2500 0.2500 0.5000  6 Ag 2.82-3.06, 2 Mg 2.86, 2 Au 2.86
Au 0.0000 0.5000 0.0000  4 Mg 2.82-2.94, 4 Ag 2.86, 2 Au 3.06

Calculated values
Crystal system: monoclinic
ΔH_f (0 K): -3.93 kcal/mol of atoms
VASP energy: -22.5 eV for the cell shown

***

Entry 5:
Crystalline Pm4DySc3 at its relaxed geometry. Source: Alexandria, functional PBE.

Unit cell a=6.9925 b=9.8041 c=6.9760 alpha=90.00 beta=90.00 gamma=90.00
Last column: nearest neighbours and their distance in Å.
Space group Pmmn (No. 59, origin choice 2)
One atom of each set of equivalent atoms:
Pm 0.0000 0.0000 0.0000  4 Sc 3.49-3.51, 6 Pm 3.50-3.51, 2 Dy 3.53
Pm 0.2500 0.2500 0.2594  6 Pm 3.35-3.62, 6 Sc 3.45-3.50
Pm 0.2500 0.2500 0.7400  6 Pm 3.35-3.62, 4 Sc 3.44, 2 Dy 3.50
Dy 0.2500 0.7500 0.2633  6 Sc 3.34-3.64, 6 Pm 3.50-3.53
Sc 0.0000 0.0000 0.5000  2 Dy 3.43, 6 Pm 3.44-3.49, 4 Sc 3.45-3.50
Sc 0.2500 0.7500 0.7418  2 Dy 3.34-3.64, 4 Sc 3.45, 6 Pm 3.50-3.51

Calculated values
Excess energy over the best structure of this formula in the dataset: 0 meV per atom
Crystal system: orthorhombic
ΔH_f (0 K): 1.25 kcal/mol of atoms
VASP energy: -84.3 eV for the cell shown

***

Entry 6:
Crystalline Sm3YAu2 at its relaxed geometry. Source: Alexandria, functional PBE.

Unit cell a=5.0579 b=9.1592 c=7.1939 alpha=90.00 beta=90.00 gamma=90.00
Last column: nearest neighbours and their distance in Å.
Space group Pmc2_1 (No. 26)
One atom of each set of equivalent atoms:
Sm 0.0000 0.0760 0.0000  3 Au 3.01-3.18
Sm 0.0000 0.3334 0.3591  4 Au 2.96-3.11
Sm 0.5000 0.1659 0.6610  4 Au 2.98-3.14
Y 0.5000 0.4276 0.0192  3 Au 2.98-3.18
Au 0.0000 0.3503 0.7706  5 Sm 2.96-3.14, 2 Y 3.18
Au 0.5000 0.1561 0.2475  6 Sm 2.98-3.18, 1 Y 2.98

Calculated values
Crystal system: orthorhombic
ΔH_f (0 K): -13.62 kcal/mol of atoms
VASP energy: -61.4 eV for the cell shown

***

Entry 7:
Crystalline Pm4Ho2Th at its relaxed geometry. Source: Alexandria, functional PBE.

Unit cell a=6.7671 b=11.5754 c=12.1574 alpha=90.00 beta=90.00 gamma=90.00
Last column: nearest neighbours and their distance in Å.
Space group Imma (No. 74)
One atom of each set of equivalent atoms:
Pm 0.0000 0.0034 0.1531  1 Ho 3.31, 2 Th 3.52
Pm 0.2237 0.2500 0.9879  1 Pm 3.03, 1 Ho 3.16, 1 Th 3.19
Ho 0.0000 0.0000 0.5000  8 Pm 3.45-3.86
Ho 0.0000 0.2500 0.7213  4 Pm 3.16-3.31, 2 Ho 3.45
Th 0.2500 0.2500 0.2500  6 Pm 3.19-3.52, 2 Th 3.38

Calculated values
Excess energy over the best structure of this formula in the dataset: 263 meV per atom
Crystal system: orthorhombic
ΔH_f (0 K): 6.94 kcal/mol of atoms
VASP energy: -133.9 eV for the cell shown

***

Entry 8:
Crystalline MnGeCN at its relaxed geometry. Source: Alexandria, functional PBE.

Unit cell a=3.0846 b=3.2543 c=4.8059 alpha=90.00 beta=90.00 gamma=90.00
Last column: nearest neighbours and their distance in Å.
Space group Pmm2 (No. 25)
One atom of each set of equivalent atoms:
Mn 0.0000 0.0000 0.0000  2 C 2.01, 2 N 2.05
Ge 0.5000 0.5000 0.5038  2 N 1.94, 2 C 1.96
C 0.5000 0.0000 0.7323  2 Ge 1.96, 2 Mn 2.01
N 0.0000 0.5000 0.2600  2 Ge 1.94, 2 Mn 2.05

Calculated values
Excess energy over the best structure of this formula in the dataset: 48 meV per atom
Crystal system: orthorhombic
ΔE_f (raw): 0.33 eV per atom
VASP energy: -30.0 eV for the cell shown

***

Entry 9:
Crystalline PmDyYAg at its relaxed geometry. Source: Alexandria, functional PBE.

Unit cell a=7.6675 b=7.6675 c=7.6675 alpha=90.00 beta=90.00 gamma=90.00
Last column: nearest neighbours and their distance in Å.
Space group F-43m (No. 216)
One atom of each set of equivalent atoms:
Pm 0.0000 0.0000 0.0000  4 Dy 3.32, 4 Y 3.32
Dy 0.2500 0.2500 0.7500  4 Pm 3.32, 4 Ag 3.32
Y 0.2500 0.2500 0.2500  4 Pm 3.32, 4 Ag 3.32
Ag 0.0000 0.0000 0.5000  4 Dy 3.32, 4 Y 3.32

Calculated values
Excess energy over the best structure of this formula in the dataset: 232 meV per atom
Crystal system: cubic
ΔH_f (0 K): 2.26 kcal/mol of atoms
VASP energy: -73.1 eV for the cell shown

***

Entry 10:
Crystalline ScSb4W at its relaxed geometry. Source: Alexandria, functional PBE.

Unit cell a=8.4976 b=8.4976 c=8.4976 alpha=90.00 beta=90.00 gamma=90.00
Last column: nearest neighbours and their distance in Å.
Space group F-43m (No. 216)
One atom of each set of equivalent atoms:
Sc 0.0000 0.0000 0.0000  12 Sb 3.52, 4 W 3.68
Sb 0.1248 0.1248 0.3752  6 Sb 3.00-3.01
W 0.2500 0.2500 0.7500  12 Sb 3.52, 4 Sc 3.68

Calculated values
Crystal system: cubic
ΔE_f (raw): 0.94 eV per atom
VASP energy: -120.5 eV for the cell shown

***

Entry 11:
Crystalline CrPbAu2 at its relaxed geometry. Source: Alexandria, functional PBE.

Unit cell a=6.0679 b=6.9873 c=3.8490 alpha=90.00 beta=90.00 gamma=90.00
Last column: nearest neighbours and their distance in Å.
Space group Cmmm (No. 65)
One atom of each set of equivalent atoms:
Cr 0.0000 0.0000 0.0000  8 Au 3.01, 2 Pb 3.03
Pb 0.0000 0.5000 0.0000  8 Au 3.01, 2 Cr 3.03
Au 0.2500 0.2500 0.5000  4 Cr 3.01, 4 Pb 3.01, 2 Au 3.03

Calculated values
Crystal system: orthorhombic
ΔH_f (0 K): 4.68 kcal/mol of atoms
VASP energy: -38.1 eV for the cell shown

***

Entry 12:
Crystalline K3NaBi at its relaxed geometry. Source: Alexandria, functional PBE.

Unit cell a=13.1573 b=8.7892 c=8.0020 alpha=90.00 beta=90.00 gamma=90.00
Last column: nearest neighbours and their distance in Å.
Space group Ima2 (No. 46)
One atom of each set of equivalent atoms:
K 0.0259 0.2476 0.0000  1 Na 3.63, 4 K 3.86-4.00, 1 Bi 4.06
K 0.2500 0.0772 0.2543  2 Na 3.50, 1 Bi 3.52, 4 K 3.86-3.88
Na 0.2500 0.7504 0.0036  2 Bi 3.12
Bi 0.2500 0.0222 0.7531  2 Na 3.12

Calculated values
Excess energy over the best structure of this formula in the dataset: 0 meV per atom
Crystal system: orthorhombic
ΔH_f (0 K): -3.68 kcal/mol of atoms
VASP energy: -37.2 eV for the cell shown

***

Entry 13:
Crystalline CrNiH2 at its relaxed geometry. Source: Alexandria, functional PBE.

Unit cell a=3.8624 b=3.8624 c=7.7414 alpha=90.00 beta=90.00 gamma=90.00
Last column: nearest neighbours and their distance in Å.
Space group I-42d (No. 122)
One atom of each set of equivalent atoms:
Cr 0.0000 0.0000 0.0000  4 H 1.72
Ni 0.0000 0.0000 0.5000  4 H 1.63
H 0.2305 0.2500 0.6250  2 Ni 1.63, 2 Cr 1.72

Calculated values
Excess energy over the best structure of this formula in the dataset: 130 meV per atom
Crystal system: tetragonal
VASP energy: -86.8 eV for the cell shown

***

Entry 14:
Crystalline Tm2Zn2Cu at its relaxed geometry. Source: Alexandria, functional PBE.

Unit cell a=9.8360 b=4.3700 c=10.3886 alpha=90.00 beta=115.64 gamma=90.00
Last column: nearest neighbours and their distance in Å.
Space group C2/m (No. 12)
One atom of each set of equivalent atoms:
Tm 0.0124 0.0000 0.3344  4 Cu 2.88-3.22, 7 Zn 3.05-3.12
Tm 0.1949 0.0000 0.1116  6 Zn 2.86-3.15, 2 Cu 3.18
Zn 0.0120 0.5000 0.8838  1 Cu 2.50, 1 Zn 2.53
Zn 0.1462 0.5000 0.5639  3 Cu 2.50-2.70, 1 Zn 2.59
Cu 0.2243 0.5000 0.3445  4 Zn 2.50-2.70

Calculated values
Crystal system: monoclinic
ΔH_f (0 K): -7.08 kcal/mol of atoms
VASP energy: -68.5 eV for the cell shown

***

Entry 15:
Crystalline Zn2TcTe at its relaxed geometry. Source: Alexandria, functional PBE.

Unit cell a=2.9547 b=2.9547 c=9.4541 alpha=90.00 beta=90.00 gamma=90.00
Last column: nearest neighbours and their distance in Å.
Space group P4/mmm (No. 123)
One atom of each set of equivalent atoms:
Zn 0.0000 0.0000 0.1752  4 Tc 2.67, 4 Zn 2.95
Tc 0.5000 0.5000 0.0000  8 Zn 2.67, 4 Tc 2.95
Te 0.5000 0.5000 0.5000  4 Te 2.95

Calculated values
Crystal system: tetragonal
ΔE_f (raw): 0.35 eV per atom
VASP energy: -14.7 eV for the cell shown

***

Entry 16:
Crystalline TlCo5Se8 at its relaxed geometry. Source: Alexandria, functional PBE.

Unit cell a=18.1960 b=3.5742 c=8.2957 alpha=90.00 beta=104.73 gamma=90.00
Last column: nearest neighbours and their distance in Å.
Space group Cm (No. 8)
One atom of each set of equivalent atoms:
Tl 0.0000 0.0000 0.0000  10 Se 3.35-3.73, 2 Tl 3.57
Co 0.1577 0.0000 0.4862  6 Se 2.36-2.50, 1 Co 2.64
Co 0.2043 0.0000 0.8147  6 Se 2.38-2.46, 1 Co 2.64
Co 0.2930 0.5000 0.1854  6 Se 2.38-2.46, 1 Co 2.64
Co 0.3405 0.5000 0.5133  6 Se 2.36-2.51, 1 Co 2.64
Co 0.4981 0.0000 0.5001  6 Se 2.35-2.40
Se 0.0700 0.0000 0.6567  4 Co 2.39-2.46
Se 0.0873 0.5000 0.3365  3 Co 2.36-2.37
Se 0.1748 0.5000 0.9805  3 Co 2.38-2.40
Se 0.2391 0.5000 0.6529  5 Co 2.41-2.50
Se 0.2587 0.0000 0.3463  5 Co 2.41-2.51
Se 0.3224 0.0000 0.0190  3 Co 2.38-2.40
Se 0.4100 0.0000 0.6647  3 Co 2.35-2.36
Se 0.4276 0.5000 0.3400  4 Co 2.40-2.46

Calculated values
Crystal system: monoclinic
ΔE_f (raw): -0.29 eV per atom
VASP energy: -139.6 eV for the cell shown

***

Entry 17:
Crystalline Sc3SnN at its relaxed geometry. Source: Alexandria, functional PBE.

Unit cell a=4.2714 b=6.3800 c=7.5318 alpha=90.00 beta=90.00 gamma=90.00
Last column: nearest neighbours and their distance in Å.
Space group Pmmn (No. 59, origin choice 2)
One atom of each set of equivalent atoms:
Sc 0.2500 0.0164 0.1493  1 N 2.03
Sc 0.2500 0.7500 0.5839  2 N 2.23
Sn 0.2500 0.2500 0.7372  4 Sc 2.86, 1 N 3.05
N 0.2500 0.2500 0.3327  4 Sc 2.03-2.23

Calculated values
Crystal system: orthorhombic
ΔE_f (raw): -0.79 eV per atom
VASP energy: -70.5 eV for the cell shown

***

Entry 18:
Crystalline Th4SiSbSe2 at its relaxed geometry. Source: Alexandria, functional PBE.

Unit cell a=7.3278 b=4.3129 c=7.5944 alpha=90.00 beta=109.58 gamma=90.00
Last column: nearest neighbours and their distance in Å.
Space group P2/m (No. 10)
One atom of each set of equivalent atoms:
Th 0.2428 0.0000 0.2288  3 Se 2.96-3.14, 1 Si 2.96, 2 Sb 3.14
Th 0.2563 0.5000 0.7700  3 Se 2.96-3.13, 2 Si 2.97, 1 Sb 3.14
Si 0.5000 0.0000 0.0000  6 Th 2.96-2.97
Sb 0.5000 0.5000 0.5000  6 Th 3.14
Se 0.0000 0.0000 0.5000  6 Th 3.13-3.14
Se 0.0000 0.5000 0.0000  6 Th 2.96

Calculated values
Crystal system: monoclinic
ΔE_f (raw): -1.19 eV per atom
VASP energy: -55.7 eV for the cell shown

***

Entry 19:
Crystalline Be2PIr at its relaxed geometry. Source: Alexandria, functional PBE.

Unit cell a=7.9032 b=2.7899 c=4.0883 alpha=90.00 beta=97.36 gamma=90.00
Last column: nearest neighbours and their distance in Å.
Space group Cm (No. 8)
One atom of each set of equivalent atoms:
Be 0.0000 0.0000 0.0000  1 P 2.24, 3 Be 2.29-2.44, 2 Ir 2.41
Be 0.2442 0.5000 0.2061  3 Be 2.29-2.44, 2 P 2.36, 3 Ir 2.39-2.55
P 0.2313 0.0000 0.7366  3 Be 2.24-2.36, 3 Ir 2.44-2.47
Ir 0.4934 0.0000 0.4774  7 Be 2.39-2.55, 3 P 2.44-2.47

Calculated values
Crystal system: monoclinic
ΔH_f (0 K): -5.18 kcal/mol of atoms
VASP energy: -45.2 eV for the cell shown

***

Entry 20:
Crystalline Ca4AuBr at its relaxed geometry. Source: Alexandria, functional PBE.

Unit cell a=9.6056 b=9.6056 c=9.6056 alpha=90.00 beta=90.00 gamma=90.00
Last column: nearest neighbours and their distance in Å.
Space group F-43m (No. 216)
One atom of each set of equivalent atoms:
Ca 0.1244 0.1244 0.1244  6 Ca 3.38-3.41
Au 0.2500 0.2500 0.7500  12 Ca 3.98, 4 Br 4.16
Br 0.0000 0.0000 0.5000  12 Ca 3.98, 4 Au 4.16

Calculated values
Crystal system: cubic
ΔE_f (raw): 0.08 eV per atom
VASP energy: -49.9 eV for the cell shown

***

The records above yield total magnetization values of 0.920 0.000 0.108 0.000 0.000 0.000 0.000 0.990 0.001 0.256 1.023 0.152 0.000 0.000 0.288 0.000 0.000 0.000 0.000 0.014 μB per atom, respectively.
The records above yield DOS(E_F) values of 14.20 2.91 49.98 2.28 22.06 12.77 48.88 1.14 25.31 27.62 4.99 8.88 5.58 15.27 2.48 19.57 0.46 5.57 0.97 34.27 states/eV per cell, respectively.
The records above yield calculated density values of 5.34 7.84 4.80 9.90 6.09 9.31 7.96 5.29 7.43 7.75 13.29 2.51 6.48 8.78 7.17 7.20 4.33 9.08 8.96 3.28 g/cm3, respectively.